Density functional theory data (PBE-GGA) for a relaxed Li4AcTm crystal.

It has space group F-43m (No. 216), with a = 8.5224 Å, b = 8.5224 Å, c = 8.5224 Å, α = 90.00°, β = 90.00° and γ = 90.00°. The inequivalent atoms are Li at (0.1232, 0.1232, 0.1232), Ac at (0.0000, 0.0000, 0.5000) and Tm at (0.2500, 0.2500, 0.7500).

The calculated total energy comes out at -2.6034 eV per atom. The density of states at the Fermi level comes out at 6.240 states/eV/f.u. Its formation energy is 0.102 eV/atom.

=====

Density functional theory data (PBE-GGA) for a relaxed Li2AcTm crystal.

It has space group Fm-3m (No. 225), with a = 7.7584 Å, b = 7.7584 Å, c = 7.7584 Å, α = 90.00°, β = 90.00° and γ = 90.00°. The inequivalent atoms are Li at (0.2500, 0.2500, 0.2500), Ac at (0.0000, 0.0000, 0.0000) and Tm at (0.0000, 0.0000, 0.5000).

The calculated total energy comes out at -2.9390 eV per atom. The value obtained for the energy above the lowest structure with this stoichiometry is 0.014 eV per atom. The density of states at the Fermi level comes out at 5.645 states/eV/f.u. Its formation energy is 0.163 eV/atom.

=====

Density functional theory data (PBE-GGA) for a relaxed LiAcTm2 crystal.

It has space group Fm-3m (No. 225), with a = 7.9991 Å, b = 7.9991 Å, c = 7.9991 Å, α = 90.00°, β = 90.00° and γ = 90.00°. The inequivalent atoms are Li at (0.0000, 0.0000, 0.0000), Ac at (0.0000, 0.0000, 0.5000) and Tm at (0.2500, 0.2500, 0.2500).

The calculated total energy comes out at -3.4601 eV per atom. The value obtained for the energy above the lowest structure with this stoichiometry is 0.158 eV per atom. The density of states at the Fermi level comes out at 4.175 states/eV/f.u. Its formation energy is 0.281 eV/atom.

=====

Q: What is the calculated total energy in the second record?
A: -2.9390 eV per atom

=====

Q: What is the formula in the second record?
A: Li2AcTm

=====

Repeat the second record exactly.
Density functional theory data (PBE-GGA) for a relaxed Li2AcTm crystal.

It has space group Fm-3m (No. 225), with a = 7.7584 Å, b = 7.7584 Å, c = 7.7584 Å, α = 90.00°, β = 90.00° and γ = 90.00°. The inequivalent atoms are Li at (0.2500, 0.2500, 0.2500), Ac at (0.0000, 0.0000, 0.0000) and Tm at (0.0000, 0.0000, 0.5000).

The calculated total energy comes out at -2.9390 eV per atom. The value obtained for the energy above the lowest structure with this stoichiometry is 0.014 eV per atom. The density of states at the Fermi level comes out at 5.645 states/eV/f.u. Its formation energy is 0.163 eV/atom.